Below is a relaxed structure of ZnFe5Ni6, with properties calculated at the GGA-PBE level.

```
12
Lattice="-1.5370 3.0843 1.0119 -4.9951 -4.4170 -0.4779 3.7808 -1.8986 5.1759" Properties=species:S:1:pos:R:3 pbc="T T T"
Ni 0.7862 -0.3858 2.3812
Ni -0.5863 -1.9987 5.2300
Ni -1.4583 0.7325 1.9373
Ni -1.2930 -3.9639 3.7726
Ni -2.1650 -1.2326 0.4799
Ni -3.5375 -2.8456 3.3288
Zn 0.0000 0.0000 0.0000
Fe 1.4939 -0.7922 4.7037
Fe 0.8446 -2.7412 3.2843
Fe -1.3757 -1.6157 2.8550
Fe -2.0589 -3.5744 1.4137
Fe -4.2452 -2.4392 1.0062
```

Values from the calculation:
- DFT total energy (eV for the cell shown) = -79.13
- E_form (eV per atom) = -0.071
- crystal system = orthorhombic
- space-group type = Immm (71)

---

Below is a relaxed structure of Na17Tl11Hg, with properties calculated at the GGA-PBE level.

```
29
Lattice="9.7449 -0.0251 -3.4667 -4.8287 8.4645 -3.4667 -0.0074 -0.0128 10.4071" Properties=species:S:1:pos:R:3 pbc="T T T"
Na 4.9003 8.4121 -3.4156
Na 3.3776 5.7981 -1.8765
Na 3.2494 5.5781 2.3188
Na 2.0319 3.4881 4.6419
Na 4.9096 8.4281 -6.9137
Na 0.1924 4.9367 -3.0887
Na 0.5696 6.0678 0.3499
Na 8.2408 2.5743 1.5637
Na -1.6247 2.8640 -1.1714
Na -0.6416 5.8390 3.8360
Na 5.7206 -0.0092 1.1728
Na -2.8299 4.9717 1.1728
Na 5.3956 2.3221 3.8360
Na 3.2928 -0.0006 -1.1714
Na -1.8256 8.4383 1.5637
Na 4.9973 3.4886 0.3499
Na 4.1994 2.6026 -3.0887
Tl 0.9457 1.6234 7.1098
Tl 2.1123 6.8266 -4.9296
Tl 0.0332 3.2162 1.9567
Tl 7.8874 -0.0245 3.6444
Tl 1.2006 8.4376 2.8227
Tl 6.9746 1.6159 -1.4959
Tl -2.0348 6.8641 -1.4959
Tl 6.7475 5.2064 2.8227
Tl -3.9120 6.8490 3.6444
Tl 2.7814 1.6153 1.9567
Tl 4.8963 5.2048 -4.9296
Hg 1.8741 3.2172 -0.7100
```

Values from the calculation:
- DFT total energy (eV for the cell shown) = -51.91
- E_form (eV per atom) = -0.109
- crystal system = monoclinic
- space-group type = Cm (8)

---

Below is a relaxed structure of Hf2NO, with properties calculated at the GGA-PBE level.

```
4
Lattice="-2.7933 -0.4289 -1.5938 -0.1478 -2.0834 -2.4828 -2.5915 -5.6227 2.7525" Properties=species:S:1:pos:R:3 pbc="T T T"
Hf -2.1103 -4.1934 1.5245
Hf -3.4223 -3.9416 -2.8486
O 0.0000 0.0000 0.0000
N -2.7663 -4.0675 -0.6620
```

Values from the calculation:
- DFT total energy (eV for the cell shown) = -40.23
- crystal system = trigonal
- space-group type = R-3m (166)
- formation energy without anion corrections (kJ/mol of atoms) = -169.7

---

Below is a relaxed structure of NdGdGePd, with properties calculated at the GGA-PBE level.

```
4
Lattice="-1.0843 -4.3904 -2.4033 2.3042 -4.3422 1.4363 -2.6754 -3.6437 2.4068" Properties=species:S:1:pos:R:3 pbc="T T T"
Ge -0.3639 -3.0941 0.3599
Gd -0.7278 -6.1881 0.7199
Nd 0.0000 0.0000 0.0000
Pd -1.0916 -9.2822 1.0798
```

Values from the calculation:
- DFT total energy (eV for the cell shown) = -31.66
- E_form (eV per atom) = -0.750
- crystal system = cubic
- space-group type = F-43m (216)

---

> Which value of DFT total energy does entry 1 give?

-79.13 eV for the cell shown